[1]
DFT (PBE) results for crystalline CsAl2HIr at its relaxed geometry.

Properties
Crystal system: tetragonal
Total magnetic moment: 0.0 μB per formula unit
Density: 6.65 Mg/m³
E: -0.2450 Ry/atom

Cell lengths 5.275, 3.413, 5.275 Å; angles 90.00, 90.00, 90.00 degrees
Positions (direct):
1 H 0.000 0.000 0.000
2 Cs 0.500 0.500 0.500
3 Al 0.500 0.000 0.000
4 Al 0.000 0.000 0.500
5 Ir 0.000 0.500 0.000



[2]
DFT (PBE) results for crystalline CsK2AlH6 at its relaxed geometry.

Properties
Crystal system: trigonal
Total magnetic moment: 0.0 μB per formula unit
Density: 2.33 Mg/m³
E: -0.2120 Ry/atom

Cell lengths 6.104, 6.104, 6.104 Å; angles 63.75, 63.75, 63.75 degrees
Positions (direct):
1 Al 0.000 0.000 0.000
2 H 0.072 0.847 0.297
3 H 0.153 0.704 0.928
4 H 0.847 0.297 0.072
5 H 0.928 0.153 0.704
6 H 0.297 0.072 0.847
7 H 0.704 0.928 0.153
8 Cs 0.500 0.500 0.500
9 K 0.769 0.769 0.769
10 K 0.231 0.231 0.231